{"formula": "KVN2O", "functional": "PBE+U", "state": "optimized geometry", "dos_ef_per_ev_atom": 0.352, "dft_energy_ev_per_atom": -6.13, "crystal_system": "tetragonal", "lattice_angstrom": [[3.9921, 0.0000, 0.0000], [0.0000, 3.9921, 0.0000], [0.0000, 0.0000, 3.9249]], "species": ["K", "V", "N", "N", "O"], "fractional_positions": [[0.0000, 0.0000, 0.0000], [0.5000, 0.5000, 0.5000], [0.0000, 0.5000, 0.5000], [0.5000, 0.0000, 0.5000], [0.5000, 0.5000, 0.0000]]}